Record 1
VASP calculation (PBE) on crystalline LuCd4Ag at its relaxed geometry.

Cell lengths 5.7637, 5.7637, 5.7637 Å; angles 60.00, 60.00, 60.00 degrees
Atoms (fractional coordinates):
Cd 0.6250 0.6250 0.6250
Cd 0.6250 0.6250 0.1250
Cd 0.6250 0.1250 0.6250
Cd 0.1250 0.6250 0.6250
Ag 0.0000 0.0000 0.0000
Lu 0.2500 0.2500 0.2500

Summary:
Density of states at the Fermi level ... 2.804 states/eV/f.u.
Calculated total energy ... -1.852 eV per atom
Volume ... 135 Å³/f.u.
Space group ... F-43m (216)
Calculated formation energy ... -0.0130 eV per atom


Record 2
VASP calculation (PBE) on crystalline Tb2PmHoTh at its relaxed geometry.

Cell lengths 6.9290, 8.5759, 7.3290 Å; angles 125.81, 90.00, 90.00 degrees
Atoms (fractional coordinates):
Pm 0.2500 0.7323 0.4646
Pm 0.7500 0.2677 0.5354
Th 0.2500 0.0015 0.0029
Th 0.7500 0.9985 0.9971
Tb 0.0000 0.6829 0.0000
Tb 0.5000 0.6829 0.0000
Tb 0.0000 0.3170 0.0000
Tb 0.5000 0.3170 0.0000
Ho 0.2500 0.2753 0.5505
Ho 0.7500 0.7247 0.4495

Summary:
Density of states at the Fermi level ... 7.784 states/eV/f.u.
Calculated total energy ... -4.763 eV per atom
Volume ... 177 Å³/f.u.
Space group ... Cmcm (63)
Calculated formation energy ... 0.4389 eV per atom


Record 3
VASP calculation (PBE) on crystalline Nd5ScHg6 at its relaxed geometry.

Cell lengths 5.3163, 7.6564, 9.2589 Å; angles 65.57, 73.42, 90.00 degrees
Atoms (fractional coordinates):
Sc 0.0000 0.0000 0.0000
Hg 0.5000 0.7776 0.0000
Hg 0.5000 0.2224 0.0000
Hg 0.1583 0.3927 0.6832
Hg 0.8417 0.0759 0.3168
Hg 0.1583 0.9241 0.6832
Hg 0.8417 0.6073 0.3168
Nd 0.3266 0.8267 0.3465
Nd 0.6734 0.1733 0.6535
Nd 0.6628 0.6627 0.6746
Nd 0.0000 0.5000 0.0000
Nd 0.3372 0.3373 0.3254

Summary:
Density of states at the Fermi level ... 13.305 states/eV/f.u.
Calculated total energy ... -3.116 eV per atom
Volume ... 326 Å³/f.u.
Space group ... C2/m (12)
Calculated formation energy ... -0.4507 eV per atom


Record 4
VASP calculation (PBE) on crystalline PuZrAu at its relaxed geometry.

Cell lengths 3.0372, 8.5726, 8.5726 Å; angles 120.00, 90.00, 90.00 degrees
Atoms (fractional coordinates):
Pu 0.5000 0.6932 0.6932
Pu 0.5000 0.0000 0.3068
Pu 0.5000 0.3068 0.0000
Zr 0.5000 0.3333 0.6667
Zr 0.0000 0.0000 0.0000
Zr 0.5000 0.6667 0.3333
Au 0.0000 0.6340 0.0000
Au 0.0000 0.3660 0.3660
Au 0.0000 0.0000 0.6340

Summary:
Density of states at the Fermi level ... 6.927 states/eV/f.u.
Calculated total energy ... -8.764 eV per atom
Volume ... 64 Å³/f.u.
Offset from the most stable computed form ... 0.50 eV per formula unit
Space group ... P-62m (189)
Calculated formation energy ... -0.0445 eV per atom


Record 5
VASP calculation (PBE) on crystalline BaSmAgBr6 at its relaxed geometry.

Cell lengths 7.4115, 7.4115, 14.2268 Å; angles 90.00, 90.00, 120.00 degrees
Atoms (fractional coordinates):
Br 0.6422 0.0047 0.3668
Br 0.9953 0.6376 0.3668
Br 0.6376 0.9953 0.8668
Br 0.3578 0.3624 0.8668
Br 0.3624 0.3578 0.3668
Br 0.6376 0.6422 0.6332
Br 0.9953 0.3578 0.1332
Br 0.6422 0.6376 0.1332
Br 0.0047 0.6422 0.8668
Br 0.3578 0.9953 0.6332
Br 0.0047 0.3624 0.6332
Br 0.3624 0.0047 0.1332
Ag 0.6667 0.3333 0.7500
Ag 0.3333 0.6667 0.2500
Sm 0.3333 0.6667 0.7500
Sm 0.6667 0.3333 0.2500
Ba 0.0000 0.0000 0.5000
Ba 0.0000 0.0000 0.0000

Summary:
Density of states at the Fermi level ... 0.000 states/eV/f.u.
Calculated total energy ... -3.783 eV per atom
Volume ... 338 Å³/f.u.
Formation energy without anion corrections ... -37.19 kcal/mol of atoms
Space group ... P-31c (163)


Record 6
VASP calculation (PBE) on crystalline RuBr2O at its relaxed geometry.

Cell lengths 7.0049, 7.0049, 7.0049 Å; angles 31.38, 31.38, 31.38 degrees
Atoms (fractional coordinates):
Br 0.1018 0.1018 0.1018
Br 0.8982 0.8982 0.8982
Ru 0.5000 0.5000 0.5000
O 0.0000 0.0000 0.0000

Summary:
Density of states at the Fermi level ... 0.000 states/eV/f.u.
Calculated total energy ... -3.959 eV per atom
Volume ... 83 Å³/f.u.
Formation energy without anion corrections ... 10.06 kcal/mol of atoms
Space group ... R-3m (166)


Record 7
VASP calculation (PBE) on crystalline Pm2Zn3CrNi12 at its relaxed geometry.

Cell lengths 9.1682, 9.1682, 9.1682 Å; angles 38.55, 38.55, 38.55 degrees
Atoms (fractional coordinates):
Zn 0.5000 0.0000 0.0000
Zn 0.0000 0.5000 0.0000
Zn 0.0000 0.0000 0.5000
Ni 0.9289 0.9289 0.3487
Ni 0.5788 0.5788 0.1870
Ni 0.4212 0.8130 0.4212
Ni 0.1870 0.5788 0.5788
Ni 0.9289 0.3487 0.9289
Ni 0.0711 0.6513 0.0711
Ni 0.5788 0.1870 0.5788
Ni 0.3487 0.9289 0.9289
Ni 0.4212 0.4212 0.8130
Ni 0.8130 0.4212 0.4212
Ni 0.0711 0.0711 0.6513
Ni 0.6513 0.0711 0.0711
Pm 0.6533 0.6533 0.6533
Pm 0.3467 0.3467 0.3467
Cr 0.0000 0.0000 0.0000

Summary:
Density of states at the Fermi level ... 18.715 states/eV/f.u.
Calculated total energy ... -4.993 eV per atom
Volume ... 269 Å³/f.u.
Space group ... R-3m (166)
Calculated formation energy ... 0.1360 eV per atom


Record 8
VASP calculation (PBE) on crystalline SrLiUO5 at its relaxed geometry.

Cell lengths 6.0119, 6.0119, 8.1976 Å; angles 105.56, 105.56, 106.71 degrees
Atoms (fractional coordinates):
O 0.2902 0.8969 0.5892
O 0.1031 0.7098 0.9108
O 0.0684 0.9316 0.2500
O 0.6563 0.7446 0.9011
O 0.9316 0.0684 0.7500
O 0.7446 0.6563 0.4011
O 0.7098 0.1031 0.4108
O 0.3437 0.2554 0.0989
O 0.8969 0.2902 0.0892
O 0.2554 0.3437 0.5989
Li 0.6921 0.3079 0.2500
Li 0.3079 0.6921 0.7500
Sr 0.6746 0.3254 0.7500
Sr 0.3254 0.6746 0.2500
U 0.0000 0.0000 0.5000
U 0.0000 0.0000 0.0000

Summary:
Density of states at the Fermi level ... 7.630 states/eV/f.u.
Calculated total energy ... -7.629 eV per atom
Volume ... 127 Å³/f.u.
Formation energy without anion corrections ... -61.55 kcal/mol of atoms
Space group ... C2/c (15)


Record 9
VASP calculation (PBE) on crystalline Sc4TcAs at its relaxed geometry.

Cell lengths 5.5451, 5.5451, 5.5451 Å; angles 60.00, 60.00, 60.00 degrees
Atoms (fractional coordinates):
As 0.0000 0.0000 0.0000
Sc 0.8688 0.3771 0.3771
Sc 0.3771 0.3771 0.8688
Sc 0.3771 0.3771 0.3771
Sc 0.3771 0.8688 0.3771
Tc 0.7500 0.7500 0.7500

Summary:
Density of states at the Fermi level ... 8.290 states/eV/f.u.
Calculated total energy ... -6.325 eV per atom
Volume ... 121 Å³/f.u.
Offset from the most stable computed form ... 6.01 eV per formula unit
Space group ... F-43m (216)
Calculated formation energy ... 0.3987 eV per atom


Record 10
VASP calculation (PBE) on crystalline SiPPb2 at its relaxed geometry.

Cell lengths 4.0525, 4.0525, 7.3101 Å; angles 73.19, 73.19, 61.17 degrees
Atoms (fractional coordinates):
Pb 0.5016 0.5016 0.4955
Pb 0.9984 0.9984 0.0045
P 0.2500 0.2500 0.2500
Si 0.7500 0.7500 0.7500

Summary:
Density of states at the Fermi level ... 2.356 states/eV/f.u.
Calculated total energy ... -4.171 eV per atom
Volume ... 99 Å³/f.u.
Formation energy without anion corrections ... 9.03 kcal/mol of atoms
Offset from the most stable computed form ... 1.31 eV per formula unit
Space group ... C2/m (12)


Record 11
VASP calculation (PBE) on crystalline La3SmRu at its relaxed geometry.

Cell lengths 3.9227, 6.5101, 13.1478 Å; angles 85.55, 81.42, 72.47 degrees
Atoms (fractional coordinates):
Ru 0.7895 0.2934 0.1275
Ru 0.4210 0.3701 0.7879
Sm 0.1171 0.4894 0.2765
Sm 0.2241 0.5418 0.0100
La 0.7780 0.0546 0.3894
La 0.9897 0.1227 0.8978
La 0.4356 0.9774 0.1514
La 0.7766 0.6879 0.7588
La 0.4314 0.6178 0.5193
La 0.0977 0.1818 0.6228

Summary:
Density of states at the Fermi level ... 5.389 states/eV/f.u.
Calculated total energy ... -5.925 eV per atom
Volume ... 158 Å³/f.u.
Offset from the most stable computed form ... 0.00 eV per formula unit
Space group ... Cm (8)
Calculated formation energy ... -0.1698 eV per atom


Record 12
VASP calculation (PBE) on crystalline Ca3Ge6Pd20 at its relaxed geometry.

Cell lengths 8.8646, 8.8646, 8.8646 Å; angles 60.00, 60.00, 60.00 degrees
Atoms (fractional coordinates):
Pd 0.3470 0.0000 0.6530
Pd 0.8514 0.3829 0.3829
Pd 0.3829 0.8514 0.3829
Pd 0.0000 0.0000 0.3470
Pd 0.3470 0.0000 0.0000
Pd 0.3829 0.3829 0.3829
Pd 0.6530 0.0000 0.3470
Pd 0.0000 0.3470 0.6530
Pd 0.1486 0.6171 0.6171
Pd 0.0000 0.3470 0.0000
Pd 0.6530 0.3470 0.0000
Pd 0.6530 0.0000 0.0000
Pd 0.6171 0.6171 0.6171
Pd 0.0000 0.0000 0.6530
Pd 0.3470 0.6530 0.0000
Pd 0.0000 0.6530 0.0000
Pd 0.0000 0.6530 0.3470
Pd 0.3829 0.3829 0.8514
Pd 0.6171 0.6171 0.1486
Pd 0.6171 0.1486 0.6171
Ge 0.2683 0.7317 0.7317
Ge 0.7317 0.2683 0.7317
Ge 0.7317 0.7317 0.2683
Ge 0.2683 0.2683 0.7317
Ge 0.7317 0.2683 0.2683
Ge 0.2683 0.7317 0.2683
Ca 0.2500 0.2500 0.2500
Ca 0.0000 0.0000 0.0000
Ca 0.7500 0.7500 0.7500

Summary:
Density of states at the Fermi level ... 17.541 states/eV/f.u.
Calculated total energy ... -5.329 eV per atom
Volume ... 493 Å³/f.u.
Space group ... Fm-3m (225)
Calculated formation energy ... -0.5850 eV per atom


Record 13
VASP calculation (PBE) on crystalline Cd2HgRh at its relaxed geometry.

Cell lengths 4.0951, 4.0951, 10.3407 Å; angles 78.58, 78.58, 90.00 degrees
Atoms (fractional coordinates):
Hg 0.7500 0.2500 0.5000
Hg 0.0000 0.0000 0.0000
Cd 0.8750 0.8601 0.7500
Cd 0.3750 0.3899 0.7500
Cd 0.1399 0.6250 0.2500
Cd 0.6101 0.1250 0.2500
Rh 0.2500 0.7500 0.5000
Rh 0.5000 0.5000 0.0000

Summary:
Density of states at the Fermi level ... 1.882 states/eV/f.u.
Calculated total energy ... -2.184 eV per atom
Volume ... 83 Å³/f.u.
Space group ... I-42d (122)
Calculated formation energy ... 0.1864 eV per atom


Record 14
VASP calculation (PBE) on crystalline BiTePdI2 at its relaxed geometry.

Cell lengths 6.1152, 6.1152, 5.9686 Å; angles 90.00, 90.00, 90.00 degrees
Atoms (fractional coordinates):
Bi 0.0000 0.0000 0.0000
I 0.0000 0.5000 0.0000
I 0.5000 0.0000 0.0000
Te 0.0000 0.0000 0.5000
Pd 0.5000 0.5000 0.5000

Summary:
Density of states at the Fermi level ... 17.940 states/eV/f.u.
Calculated total energy ... -2.468 eV per atom
Volume ... 223 Å³/f.u.
Formation energy without anion corrections ... 13.72 kcal/mol of atoms
Offset from the most stable computed form ... 2.29 eV per formula unit
Space group ... P4/mmm (123)


Record 15
VASP calculation (PBE) on crystalline TiBe2H at its relaxed geometry.

Cell lengths 4.7044, 4.7044, 4.7021 Å; angles 59.98, 59.98, 90.00 degrees
Atoms (fractional coordinates):
Ti 0.7500 0.2500 0.5000
Ti 0.0000 0.0000 0.0000
H 0.2500 0.7500 0.5000
H 0.5000 0.5000 0.0000
Be 0.3750 0.6252 0.7500
Be 0.3748 0.1250 0.2500
Be 0.3752 0.6250 0.2500
Be 0.8750 0.6248 0.7500

Summary:
Density of states at the Fermi level ... 1.918 states/eV/f.u.
Calculated total energy ... -4.515 eV per atom
Volume ... 37 Å³/f.u.
Offset from the most stable computed form ... 0.00 eV per formula unit
Space group ... Fd-3m (227)


Record 16
VASP calculation (PBE) on crystalline La3Sc5O12 at its relaxed geometry.

Cell lengths 11.4575, 11.4575, 11.4575 Å; angles 109.47, 109.47, 109.47 degrees
Atoms (fractional coordinates):
O 0.7048 0.1242 0.0277
O 0.8758 0.2952 0.4723
O 0.4195 0.2952 0.3230
O 0.8230 0.9195 0.2952
O 0.3758 0.4035 0.0805
O 0.8230 0.9035 0.0277
O 0.2048 0.5277 0.6242
O 0.3230 0.7952 0.4195
O 0.4035 0.3758 0.5805
O 0.5277 0.2048 0.1242
O 0.1242 0.7048 0.5277
O 0.0277 0.6242 0.7048
O 0.0965 0.9195 0.1242
O 0.9035 0.8230 0.5277
O 0.8758 0.5805 0.9035
O 0.4723 0.6770 0.0965
O 0.2952 0.8758 0.9723
O 0.9195 0.0965 0.6242
O 0.9035 0.0805 0.8758
O 0.6242 0.0277 0.2048
O 0.7048 0.5805 0.1770
O 0.9723 0.3758 0.2952
O 0.4723 0.7952 0.8758
O 0.3758 0.9723 0.7952
O 0.4035 0.0277 0.3230
O 0.3230 0.5277 0.4035
O 0.5965 0.6242 0.4195
O 0.1242 0.4195 0.0965
O 0.0277 0.4035 0.8230
O 0.0965 0.1770 0.4723
O 0.0805 0.9035 0.3758
O 0.2048 0.6770 0.0805
O 0.5805 0.7048 0.6770
O 0.9195 0.8230 0.7952
O 0.5277 0.3230 0.9035
O 0.7952 0.4723 0.3758
O 0.5965 0.9723 0.6770
O 0.5805 0.8758 0.4035
O 0.6770 0.4723 0.5965
O 0.1770 0.0965 0.9723
O 0.6770 0.2048 0.5805
O 0.4195 0.1242 0.5965
O 0.7952 0.3230 0.9195
O 0.9723 0.5965 0.1770
O 0.6242 0.5965 0.9195
O 0.0805 0.1770 0.2048
O 0.1770 0.0805 0.7048
O 0.2952 0.4195 0.8230
Sc 0.6250 0.8750 0.2500
Sc 0.5000 0.0000 0.0000
Sc 0.5000 0.5000 0.5000
Sc 0.2500 0.3750 0.6250
Sc 0.1250 0.3750 0.2500
Sc 0.7500 0.6250 0.3750
Sc 0.0000 0.0000 0.5000
Sc 0.3750 0.1250 0.7500
Sc 0.7500 0.1250 0.8750
Sc 0.0000 0.0000 0.0000
Sc 0.5000 0.5000 0.0000
Sc 0.0000 0.5000 0.5000
Sc 0.6250 0.7500 0.8750
Sc 0.0000 0.5000 0.0000
Sc 0.1250 0.7500 0.3750
Sc 0.8750 0.2500 0.6250
Sc 0.2500 0.8750 0.1250
Sc 0.8750 0.6250 0.7500
Sc 0.3750 0.2500 0.1250
Sc 0.5000 0.0000 0.5000
La 0.2500 0.1250 0.3750
La 0.8750 0.1250 0.2500
La 0.3750 0.6250 0.2500
La 0.1250 0.8750 0.7500
La 0.8750 0.7500 0.1250
La 0.6250 0.3750 0.7500
La 0.6250 0.2500 0.3750
La 0.1250 0.2500 0.8750
La 0.2500 0.6250 0.8750
La 0.7500 0.3750 0.1250
La 0.7500 0.8750 0.6250
La 0.3750 0.7500 0.6250

Summary:
Density of states at the Fermi level ... 0.000 states/eV/f.u.
Calculated total energy ... -8.782 eV per atom
Volume ... 289 Å³/f.u.
Formation energy without anion corrections ... -80.36 kcal/mol of atoms
Space group ... Ia-3d (230)


Record 17
VASP calculation (PBE) on crystalline SmPuInRu at its relaxed geometry.

Cell lengths 5.1148, 5.1148, 5.1148 Å; angles 60.00, 60.00, 60.00 degrees
Atoms (fractional coordinates):
Sm 0.0000 0.0000 0.0000
In 0.7500 0.7500 0.7500
Ru 0.2500 0.2500 0.2500
Pu 0.5000 0.5000 0.5000

Summary:
Density of states at the Fermi level ... 8.584 states/eV/f.u.
Calculated total energy ... -7.838 eV per atom
Volume ... 95 Å³/f.u.
Offset from the most stable computed form ... 0.71 eV per formula unit
Space group ... F-43m (216)
Calculated formation energy ... -0.0712 eV per atom


Record 18
VASP calculation (PBE) on crystalline Sc3ZnAu4 at its relaxed geometry.

Cell lengths 3.3726, 3.3726, 13.2737 Å; angles 90.00, 90.00, 90.00 degrees
Atoms (fractional coordinates):
Au 0.0000 0.0000 0.3706
Au 0.0000 0.0000 0.1161
Au 0.0000 0.0000 0.8839
Au 0.0000 0.0000 0.6294
Sc 0.5000 0.5000 0.2392
Sc 0.5000 0.5000 0.7608
Sc 0.5000 0.5000 0.5000
Zn 0.5000 0.5000 0.0000

Summary:
Density of states at the Fermi level ... 4.298 states/eV/f.u.
Calculated total energy ... -4.857 eV per atom
Volume ... 151 Å³/f.u.
Space group ... P4/mmm (123)
Calculated formation energy ... -0.6851 eV per atom


Record 19
VASP calculation (PBE) on crystalline CaNd3Dy7 at its relaxed geometry.

Cell lengths 6.4783, 7.7422, 7.7424 Å; angles 81.28, 86.39, 86.39 degrees
Atoms (fractional coordinates):
Dy 0.2574 0.4264 0.0869
Dy 0.7426 0.9131 0.5736
Dy 0.2071 0.7645 0.7645
Dy 0.2574 0.0869 0.4264
Dy 0.0000 0.5000 0.5000
Dy 0.7929 0.2355 0.2355
Dy 0.7426 0.5736 0.9131
Nd 0.0000 0.1744 0.8256
Nd 0.5000 0.0000 0.0000
Nd 0.0000 0.8256 0.1744
Ca 0.5000 0.5000 0.5000

Summary:
Density of states at the Fermi level ... 15.706 states/eV/f.u.
Calculated total energy ... -4.176 eV per atom
Volume ... 383 Å³/f.u.
Space group ... C2/m (12)
Calculated formation energy ... 0.2346 eV per atom